No. 1
A plane-wave DFT calculation with GGA-PBE was carried out for a relaxed structure of Rb2GaBW.

## Properties
Formation energy (eV/atom): 1.553
DFT total energy (Ry/atom): -0.2473
Energy above the lowest structure with this stoichiometry (meV/atom): 0.0

Unit cell a=6.7765 b=6.7765 c=3.8228 alpha=90.00 beta=90.00 gamma=90.00
Fractional positions:
Rb (0.0000, 0.5000, 0.0000)
Rb (0.5000, 0.0000, 0.0000)
Ga (0.0000, 0.0000, 0.5000)
B (0.0000, 0.0000, 0.0000)
W (0.5000, 0.5000, 0.5000)

***

No. 2
A plane-wave DFT calculation with GGA-PBE was carried out for a relaxed structure of Fe2TeHRh.

## Properties
DFT total energy (Ry/atom): -0.3603

Unit cell a=4.8311 b=4.8311 c=4.8584 alpha=90.00 beta=90.00 gamma=90.00
Fractional positions:
Fe (0.0000, 0.5000, 0.0000)
Fe (0.5000, 0.0000, 0.0000)
Te (0.0000, 0.0000, 0.5000)
H (0.5000, 0.5000, 0.5000)
Rh (0.0000, 0.0000, 0.0000)

***

No. 3
A plane-wave DFT calculation with GGA-PBE was carried out for a relaxed structure of YMnCdIr2.

## Properties
Formation energy (eV/atom): 1.542
DFT total energy (Ry/atom): -0.3904

Unit cell a=4.9949 b=4.9949 c=4.9328 alpha=90.00 beta=90.00 gamma=90.00
Fractional positions:
Y (0.0000, 0.0000, 0.0000)
Mn (0.0000, 0.0000, 0.5000)
Cd (0.5000, 0.5000, 0.5000)
Ir (0.0000, 0.5000, 0.0000)
Ir (0.5000, 0.0000, 0.0000)

***

No. 4
A plane-wave DFT calculation with GGA-PBE was carried out for a relaxed structure of TmCrFe.

## Properties
Formation energy (eV/atom): 0.531
DFT total energy (Ry/atom): -0.5136

Unit cell a=6.5363 b=6.5363 c=5.5051 alpha=90.00 beta=90.00 gamma=90.00
Fractional positions:
Tm (0.2292, 0.2292, 0.0000)
Tm (0.2708, 0.7292, 0.2500)
Tm (0.7292, 0.2708, 0.7500)
Tm (0.7708, 0.7708, 0.5000)
Cr (0.0762, 0.0762, 0.5000)
Cr (0.4238, 0.5762, 0.7500)
Cr (0.5762, 0.4238, 0.2500)
Cr (0.9238, 0.9238, 0.0000)
Fe (0.1820, 0.8180, 0.7500)
Fe (0.3180, 0.3180, 0.5000)
Fe (0.6820, 0.6820, 0.0000)
Fe (0.8180, 0.1820, 0.2500)

***

No. 5
A plane-wave DFT calculation with GGA-PBE was carried out for a relaxed structure of Ga2Ni4Pt3.

## Properties
Formation energy (eV/atom): -0.036
DFT total energy (Ry/atom): -0.3889

Unit cell a=7.4083 b=7.4083 c=7.4083 alpha=158.86 beta=113.97 gamma=70.19
Fractional positions:
Ga (0.1973, 0.0000, 0.1973)
Ga (0.8027, 0.0000, 0.8027)
Ni (0.0713, 0.3385, 0.7328)
Ni (0.3943, 0.6615, 0.7328)
Ni (0.6057, 0.3385, 0.2672)
Ni (0.9287, 0.6615, 0.2672)
Pt (0.2967, 0.7967, 0.5000)
Pt (0.5000, 0.5000, 0.0000)
Pt (0.7033, 0.2033, 0.5000)

***

No. 6
A plane-wave DFT calculation with GGA-PBE was carried out for a relaxed structure of NaFeRh2Br.

## Properties
DFT total energy (Ry/atom): -0.3250
Raw formation energy (eV/atom): 0.81

Unit cell a=4.7006 b=4.7006 c=4.4650 alpha=90.00 beta=90.00 gamma=90.00
Fractional positions:
Na (0.0000, 0.0000, 0.0000)
Fe (0.5000, 0.5000, 0.0000)
Rh (0.0000, 0.5000, 0.5000)
Rh (0.5000, 0.0000, 0.5000)
Br (0.5000, 0.5000, 0.5000)

***

No. 7
A plane-wave DFT calculation with GGA-PBE was carried out for a relaxed structure of Y2InPd.

## Properties
Formation energy (eV/atom): -0.692
DFT total energy (Ry/atom): -0.4341

Unit cell a=3.5282 b=3.5282 c=7.7964 alpha=90.00 beta=90.00 gamma=90.00
Fractional positions:
Y (0.0000, 0.0000, 0.2246)
Y (0.0000, 0.0000, 0.7754)
In (0.5000, 0.5000, 0.5000)
Pd (0.5000, 0.5000, 0.0000)

***

No. 8
A plane-wave DFT calculation with GGA-PBE was carried out for a relaxed structure of Tb2Pm2Ru3.

## Properties
Formation energy (eV/atom): -0.231
DFT total energy (Ry/atom): -0.5061
Energy above the lowest structure with this stoichiometry (meV/atom): 0.0

Unit cell a=4.7996 b=4.9116 c=7.7127 alpha=71.64 beta=71.99 gamma=89.98
Fractional positions:
Tb (0.1278, 0.1282, 0.2459)
Tb (0.8722, 0.8718, 0.7541)
Pm (0.3742, 0.3740, 0.7499)
Pm (0.6258, 0.6260, 0.2501)
Ru (0.2509, 0.7509, 0.9982)
Ru (0.5000, 0.0000, 0.5000)
Ru (0.7491, 0.2491, 0.0018)

***

No. 9
A plane-wave DFT calculation with GGA-PBE was carried out for a relaxed structure of LuCdNi2.

## Properties
Formation energy (eV/atom): -0.287
DFT total energy (Ry/atom): -0.3334
Energy above the lowest structure with this stoichiometry (meV/atom): 0.0

Unit cell a=4.5306 b=4.5306 c=4.5306 alpha=60.00 beta=60.00 gamma=60.00
Fractional positions:
Lu (0.0000, 0.0000, 0.0000)
Cd (0.5000, 0.5000, 0.5000)
Ni (0.2500, 0.2500, 0.2500)
Ni (0.7500, 0.7500, 0.7500)

***

No. 10
A plane-wave DFT calculation with GGA-PBE was carried out for a relaxed structure of P2SBrO.

## Properties
DFT total energy (Ry/atom): -0.2656
Energy above the lowest structure with this stoichiometry (meV/atom): 0.0
Raw formation energy (eV/atom): 0.70

Unit cell a=4.8548 b=4.8548 c=3.5208 alpha=90.00 beta=90.00 gamma=90.00
Fractional positions:
P (0.0000, 0.5000, 0.0000)
P (0.5000, 0.0000, 0.0000)
S (0.0000, 0.0000, 0.0000)
Br (0.5000, 0.5000, 0.5000)
O (0.0000, 0.0000, 0.5000)

***

No. 11
A plane-wave DFT calculation with GGA-PBE was carried out for a relaxed structure of KSbRu2F.

## Properties
DFT total energy (Ry/atom): -0.3153
Raw formation energy (eV/atom): 0.84

Unit cell a=4.4512 b=4.4512 c=5.0113 alpha=90.00 beta=90.00 gamma=90.00
Fractional positions:
K (0.0000, 0.0000, 0.0000)
Sb (0.5000, 0.5000, 0.0000)
Ru (0.0000, 0.5000, 0.5000)
Ru (0.5000, 0.0000, 0.5000)
F (0.5000, 0.5000, 0.5000)

***

No. 12
A plane-wave DFT calculation with GGA-PBE was carried out for a relaxed structure of BaAgP.

## Properties
Formation energy (eV/atom): -0.608
DFT total energy (Ry/atom): -0.2942

Unit cell a=4.5592 b=5.8996 c=6.6012 alpha=90.00 beta=90.00 gamma=90.00
Fractional positions:
Ba (0.0000, 0.1784, 0.0000)
Ba (0.5000, 0.8216, 0.5000)
Ag (0.0000, 0.3861, 0.5144)
Ag (0.5000, 0.6139, 0.0144)
P (0.0000, 0.6755, 0.1973)
P (0.5000, 0.3245, 0.6973)

***

Q: Which volume values were calculated for the entries above? A: 35.1, 22.7, 24.6, 19.6, 14.8, 19.7, 24.3, 23.3, 16.4, 16.6, 19.9, 29.6, in Å³ per atom.